# 1
Here is a relaxed structure of CrNi3 from Alexandria via LeMat-Bulk. Energies are from GGA-PBEsol.

Values from the calculation:
The formation energy comes out at 1.024 kcal/mol of atoms. The size of the total moment comes out at 0.6 μB/f.u. The crystal system is trigonal.

a b c (Å): 2.4518 2.4518 24.1693
angles (deg): 90.00 90.00 120.00
Space group R-3m (No. 166, hexagonal axes)
Unique sites:
Cr 0.0000 0.0000 0.0000 [3 per cell]
Ni 0.0000 0.0000 0.2504 [6 per cell]
Ni 0.0000 0.0000 0.5000 [3 per cell]

***

# 2
Here is a relaxed structure of K2LaPdCl from Alexandria via LeMat-Bulk. Energies are from GGA-PBEsol.

Values from the calculation:
The formation energy from raw total energies comes out at 0.42 eV per formula unit. The size of the total moment comes out at 0.3 μB/f.u. The crystal system is tetragonal.

a b c (Å): 5.541 5.541 5.144
angles (deg): 90.00 90.00 90.00
Space group P4/mmm (No. 123)
Unique sites:
K 0.000 0.500 0.000 [2 per cell]
La 0.000 0.000 0.500 [1 per cell]
Pd 0.500 0.500 0.500 [1 per cell]
Cl 0.500 0.500 0.000 [1 per cell]

***

# 3
Here is a relaxed structure of RbHfRhSe3 from Alexandria via LeMat-Bulk. Energies are from GGA-PBEsol.

Values from the calculation:
The formation energy from raw total energies comes out at -6.17 eV per formula unit. The size of the total moment comes out at 0.0 μB/f.u. The crystal system is orthorhombic.

a b c (Å): 3.676 16.134 9.725
angles (deg): 90.00 90.00 90.00
Space group Cmcm (No. 63)
Unique sites:
Rb 0.000 0.247 0.250 [4 per cell]
Hf 0.000 0.000 0.000 [4 per cell]
Rh 0.000 0.479 0.750 [4 per cell]
Se 0.000 0.076 0.750 [4 per cell]
Se 0.000 0.382 0.555 [8 per cell]

***

# 4
Here is a relaxed structure of KVCl3 from Alexandria via LeMat-Bulk. Energies are from GGA-PBEsol.

Values from the calculation:
The formation energy from raw total energies comes out at -7.28 eV per formula unit. The size of the total moment comes out at 2.3 μB/f.u. The crystal system is hexagonal.

a b c (Å): 6.8736 6.8736 5.6354
angles (deg): 90.00 90.00 120.00
Space group P6_3/mmc (No. 194)
Unique sites:
K 0.3333 0.6667 0.2500 [2 per cell]
V 0.0000 0.0000 0.0000 [2 per cell]
Cl 0.1641 0.3282 0.7500 [6 per cell]

***

# 5
Here is a relaxed structure of La4TaCd from Alexandria via LeMat-Bulk. Energies are from GGA-PBEsol.

Values from the calculation:
The formation energy comes out at 16.541 kcal/mol of atoms. The size of the total moment comes out at 1.3 μB/f.u. The crystal system is cubic.

a b c (Å): 8.819 8.819 8.819
angles (deg): 90.00 90.00 90.00
Space group F-43m (No. 216)
Unique sites:
La 0.124 0.124 0.124 [16 per cell]
Ta 0.250 0.250 0.750 [4 per cell]
Cd 0.000 0.000 0.500 [4 per cell]

***

# 6
Here is a relaxed structure of TiZnTc3 from Alexandria via LeMat-Bulk. Energies are from GGA-PBEsol.

Values from the calculation:
The formation energy comes out at 34.157 kcal/mol of atoms. The size of the total moment comes out at 1.1 μB/f.u. The crystal system is cubic.

a b c (Å): 4.437 4.437 4.437
angles (deg): 90.00 90.00 90.00
Space group Pm-3m (No. 221)
Unique sites:
Ti 0.000 0.000 0.000 [1 per cell]
Zn 0.500 0.500 0.500 [1 per cell]
Tc 0.000 0.000 0.500 [3 per cell]

***

# 7
Here is a relaxed structure of Ti6Ge5 from Alexandria via LeMat-Bulk. Energies are from GGA-PBEsol.

Values from the calculation:
The formation energy comes out at -17.051 kcal/mol of atoms. The size of the total moment comes out at 0.0 μB/f.u. The crystal system is orthorhombic.

a b c (Å): 7.871 16.770 5.164
angles (deg): 90.00 90.00 90.00
Space group Ibam (No. 72)
Unique sites:
Ti 0.000 0.191 0.250 [8 per cell]
Ti 0.113 0.359 0.000 [8 per cell]
Ti 0.242 0.063 0.000 [8 per cell]
Ge 0.000 0.500 0.250 [4 per cell]
Ge 0.097 0.068 0.500 [8 per cell]
Ge 0.201 0.289 0.500 [8 per cell]

***

# 8
Here is a relaxed structure of PrB12 from Alexandria via LeMat-Bulk. Energies are from GGA-PBEsol.

Values from the calculation:
The formation energy comes out at -5.239 kcal/mol of atoms. The size of the total moment comes out at 0.0 μB/f.u. The crystal system is cubic.

a b c (Å): 7.557 7.557 7.557
angles (deg): 90.00 90.00 90.00
Space group Fm-3m (No. 225)
Unique sites:
Pr 0.000 0.000 0.000 [4 per cell]
B 0.000 0.168 0.332 [48 per cell]

***

# 9
Here is a relaxed structure of ZrAlOs2 from Alexandria via LeMat-Bulk. Energies are from GGA-PBEsol.

Values from the calculation:
The formation energy comes out at -9.851 kcal/mol of atoms. The size of the total moment comes out at 0.0 μB/f.u. The crystal system is tetragonal.

a b c (Å): 3.153 3.153 6.174
angles (deg): 90.00 90.00 90.00
Space group P4/mmm (No. 123)
Unique sites:
Zr 0.000 0.000 0.000 [1 per cell]
Al 0.000 0.000 0.500 [1 per cell]
Os 0.500 0.500 0.268 [2 per cell]

***

# 10
Here is a relaxed structure of V3Zn2O8 from Alexandria via LeMat-Bulk. Energies are from GGA-PBEsol.

Values from the calculation:
The formation energy from raw total energies comes out at -26.52 eV per formula unit. The size of the total moment comes out at 3.0 μB/f.u. The crystal system is monoclinic. Its energy relative to the lowest polymorph listed for this composition is 34 meV/atom.

a b c (Å): 9.965 5.692 4.892
angles (deg): 90.00 102.26 90.00
Space group C2/m (No. 12)
Unique sites:
V 0.000 0.000 0.000 [2 per cell]
V 0.000 0.268 0.500 [4 per cell]
Zn 0.215 0.500 0.097 [4 per cell]
O 0.099 0.000 0.370 [4 per cell]
O 0.108 0.500 0.387 [4 per cell]
O 0.118 0.230 0.865 [8 per cell]

***

# 11
Here is a relaxed structure of Ho2ZnRh from Alexandria via LeMat-Bulk. Energies are from GGA-PBEsol.

Values from the calculation:
The formation energy comes out at -13.647 kcal/mol of atoms. The size of the total moment comes out at 0.0 μB/f.u. The crystal system is cubic.

a b c (Å): 6.825 6.825 6.825
angles (deg): 90.00 90.00 90.00
Space group Fm-3m (No. 225)
Unique sites:
Ho 0.250 0.250 0.250 [8 per cell]
Zn 0.000 0.000 0.000 [4 per cell]
Rh 0.000 0.000 0.500 [4 per cell]

***

# 12
Here is a relaxed structure of Sc2AlCu from Alexandria via LeMat-Bulk. Energies are from GGA-PBEsol.

Values from the calculation:
The formation energy comes out at -6.907 kcal/mol of atoms. The size of the total moment comes out at 0.0 μB/f.u. The crystal system is orthorhombic.

a b c (Å): 4.251 3.279 10.582
angles (deg): 90.00 90.00 90.00
Space group Amm2 (No. 38)
Unique sites:
Sc 0.000 0.000 0.000 [2 per cell]
Sc 0.500 0.000 0.316 [2 per cell]
Al 0.000 0.000 0.723 [2 per cell]
Cu 0.500 0.000 0.588 [2 per cell]

***

# 13
Here is a relaxed structure of ZrAlPt2 from Alexandria via LeMat-Bulk. Energies are from GGA-PBEsol.

Values from the calculation:
The formation energy comes out at -24.094 kcal/mol of atoms. The size of the total moment comes out at 0.0 μB/f.u. The crystal system is orthorhombic.

a b c (Å): 2.835 3.218 6.982
angles (deg): 90.00 90.00 90.00
Space group Pmmm (No. 47)
Unique sites:
Zr 0.000 0.000 0.000 [1 per cell]
Al 0.000 0.000 0.500 [1 per cell]
Pt 0.500 0.500 0.283 [2 per cell]

***

# 14
Here is a relaxed structure of LiCa2Zn from Alexandria via LeMat-Bulk. Energies are from GGA-PBEsol.

Values from the calculation:
The formation energy comes out at -1.976 kcal/mol of atoms. The size of the total moment comes out at 0.0 μB/f.u. The crystal system is orthorhombic.

a b c (Å): 7.363 7.376 3.835
angles (deg): 90.00 90.00 90.00
Space group Cmmm (No. 65)
Unique sites:
Li 0.000 0.000 0.000 [2 per cell]
Ca 0.250 0.250 0.500 [4 per cell]
Zn 0.000 0.500 0.000 [2 per cell]

***

# 15
Here is a relaxed structure of FeIr3C from Alexandria via LeMat-Bulk. Energies are from GGA-PBEsol.

Values from the calculation:
The formation energy comes out at 11.574 kcal/mol of atoms. The size of the total moment comes out at 4.4 μB/f.u. The crystal system is cubic.

a b c (Å): 4.023 4.023 4.023
angles (deg): 90.00 90.00 90.00
Space group Pm-3m (No. 221)
Unique sites:
Fe 0.000 0.000 0.000 [1 per cell]
Ir 0.000 0.500 0.500 [3 per cell]
C 0.500 0.500 0.500 [1 per cell]

***

# 16
Here is a relaxed structure of BaSb2F2 from Alexandria via LeMat-Bulk. Energies are from GGA-PBEsol.

Values from the calculation:
The formation energy from raw total energies comes out at -5.91 eV per formula unit. The size of the total moment comes out at 0.0 μB/f.u. The crystal system is tetragonal.

a b c (Å): 8.530 8.530 4.553
angles (deg): 90.00 90.00 90.00
Space group P4/mbm (No. 127)
Unique sites:
Ba 0.000 0.000 0.000 [2 per cell]
Sb 0.116 0.384 0.000 [4 per cell]
F 0.132 0.368 0.500 [4 per cell]

***

# 17
Here is a relaxed structure of CaGePd from Alexandria via LeMat-Bulk. Energies are from GGA-PBEsol.

Values from the calculation:
The formation energy comes out at -18.755 kcal/mol of atoms. The size of the total moment comes out at 0.0 μB/f.u. The crystal system is orthorhombic.

a b c (Å): 4.368 7.134 7.447
angles (deg): 90.00 90.00 90.00
Space group Imm2 (No. 44)
Unique sites:
Ca 0.000 0.000 0.000 [2 per cell]
Ca 0.000 0.500 0.101 [2 per cell]
Ge 0.000 0.314 0.716 [4 per cell]
Pd 0.000 0.203 0.388 [4 per cell]

***

# 18
Here is a relaxed structure of CaMg2Ir from Alexandria via LeMat-Bulk. Energies are from GGA-PBEsol.

Values from the calculation:
The formation energy comes out at -2.969 kcal/mol of atoms. The size of the total moment comes out at 0.0 μB/f.u. The crystal system is tetragonal.

a b c (Å): 3.266 3.266 7.822
angles (deg): 90.00 90.00 90.00
Space group P4/mmm (No. 123)
Unique sites:
Ca 0.000 0.000 0.000 [1 per cell]
Mg 0.500 0.500 0.321 [2 per cell]
Ir 0.000 0.000 0.500 [1 per cell]

***

# 19
Here is a relaxed structure of MgTe2Os from Alexandria via LeMat-Bulk. Energies are from GGA-PBEsol.

Values from the calculation:
The formation energy from raw total energies comes out at 0.24 eV per formula unit. The size of the total moment comes out at 0.0 μB/f.u. The crystal system is trigonal.

a b c (Å): 4.0396 4.0396 19.3247
angles (deg): 90.00 90.00 120.00
Space group R-3m (No. 166, hexagonal axes)
Unique sites:
Mg 0.0000 0.0000 0.0000 [3 per cell]
Te 0.0000 0.0000 0.2349 [6 per cell]
Os 0.0000 0.0000 0.5000 [3 per cell]

***

# 20
Here is a relaxed structure of Sr4CaYGa2Cu4O14 from Alexandria via LeMat-Bulk. Energies are from GGA-PBEsol.

Values from the calculation:
The formation energy from raw total energies comes out at -53.71 eV per formula unit. The size of the total moment comes out at 0.0 μB/f.u. The crystal system is monoclinic.

a b c (Å): 23.527 5.305 5.403
angles (deg): 90.00 103.26 90.00
Space group C2 (No. 5)
Unique sites:
Sr 0.149 0.000 0.161 [4 per cell]
Sr 0.151 0.500 0.637 [4 per cell]
Ca 0.000 0.999 0.000 [2 per cell]
Y 0.000 0.499 0.500 [2 per cell]
Ga 0.250 0.043 0.820 [4 per cell]
Cu 0.074 0.498 0.073 [4 per cell]
Cu 0.074 0.998 0.573 [4 per cell]
O 0.063 0.254 0.319 [4 per cell]
O 0.063 0.745 0.316 [4 per cell]
O 0.066 0.253 0.811 [4 per cell]
O 0.066 0.743 0.810 [4 per cell]
O 0.175 0.476 0.212 [4 per cell]
O 0.176 0.979 0.634 [4 per cell]
O 0.249 0.899 0.139 [4 per cell]